Entry 1:
ErThTeRh: optimized geometry, PBE.

Computed properties:
Total DFT energy (no corrections) ... -6.676 eV/atom
Spin magnetization ... 0.00 μB per formula unit

Structure (CIF):
```
data_ErThTeRh
_chemical_formula_sum 'Er3 Th3 Te3 Rh3'
_space_group_name_H-M_alt 'R 3 m'
_space_group_IT_number 160
_space_group_name_Hall 'R 3 -2"'
_cell_length_a 4.1468
_cell_length_b 4.1468
_cell_length_c 22.4516
_cell_angle_alpha 90.00
_cell_angle_beta 90.00
_cell_angle_gamma 120.00
loop_
_atom_site_label
_atom_site_type_symbol
_atom_site_fract_x
_atom_site_fract_y
_atom_site_fract_z
Er1 Er 0.0000 0.0000 0.0000
Th1 Th 0.0000 0.0000 0.8014
Te1 Te 0.0000 0.0000 0.2380
Rh1 Rh 0.0000 0.0000 0.4018
```

***

Entry 2:
Er5ThRh4: optimized geometry, PBE.

Computed properties:
Formation enthalpy at 0 K ... -0.71 eV/atom
Spin magnetization ... 0.00 μB per formula unit

Structure (CIF):
```
data_Er5ThRh4
_chemical_formula_sum 'Er10 Th2 Rh8'
_space_group_name_H-M_alt 'C 1 2/m 1'
_space_group_IT_number 12
_cell_length_a 17.9836
_cell_length_b 4.1702
_cell_length_c 7.4351
_cell_angle_alpha 90.00
_cell_angle_beta 114.35
_cell_angle_gamma 90.00
loop_
_space_group_symop_operation_xyz
'x,y,z'
'-x,-y,-z'
'-x,y,-z'
'x,-y,z'
'x+1/2,y+1/2,z'
'-x+1/2,-y+1/2,-z'
'-x+1/2,y+1/2,-z'
'x+1/2,-y+1/2,z'
loop_
_atom_site_label
_atom_site_type_symbol
_atom_site_fract_x
_atom_site_fract_y
_atom_site_fract_z
Er1 Er 0.0000 0.0000 0.0000
Er2 Er 0.1663 0.5000 0.4210
Er3 Er 0.1664 0.5000 0.9106
Th1 Th 0.0000 0.0000 0.5000
Rh1 Rh 0.9999 0.5000 0.2409
Rh2 Rh 0.1964 0.0000 0.6960
```

***

Entry 3:
Er3ThRh4: optimized geometry, PBE.

Computed properties:
Formation enthalpy at 0 K ... -0.89 eV/atom
Spin magnetization ... 0.00 μB per formula unit

Structure (CIF):
```
data_Er3ThRh4
_chemical_formula_sum 'Er9 Th3 Rh12'
_space_group_name_H-M_alt 'R -3 m'
_space_group_IT_number 166
_space_group_name_Hall '-R 3 2"'
_cell_length_a 4.8838
_cell_length_b 4.8838
_cell_length_c 23.8128
_cell_angle_alpha 90.00
_cell_angle_beta 90.00
_cell_angle_gamma 120.00
loop_
_atom_site_label
_atom_site_type_symbol
_atom_site_fract_x
_atom_site_fract_y
_atom_site_fract_z
Er1 Er 0.0000 0.0000 0.0000
Er2 Er 0.0000 0.0000 0.2543
Th1 Th 0.0000 0.0000 0.5000
Rh1 Rh 0.0000 0.0000 0.1257
Rh2 Rh 0.0000 0.0000 0.3768
```

***

Entry 4:
Er2Th3Rh2: optimized geometry, PBE.

Computed properties:
Formation enthalpy at 0 K ... -0.54 eV/atom
Spin magnetization ... 0.00 μB per formula unit

Structure (CIF):
```
data_Er2Th3Rh2
_chemical_formula_sum 'Er4 Th6 Rh4'
_space_group_name_H-M_alt 'C 1 2/m 1'
_space_group_IT_number 12
_cell_length_a 11.7140
_cell_length_b 3.8260
_cell_length_c 8.9429
_cell_angle_alpha 90.00
_cell_angle_beta 109.55
_cell_angle_gamma 90.00
loop_
_space_group_symop_operation_xyz
'x,y,z'
'-x,-y,-z'
'-x,y,-z'
'x,-y,z'
'x+1/2,y+1/2,z'
'-x+1/2,-y+1/2,-z'
'-x+1/2,y+1/2,-z'
'x+1/2,-y+1/2,z'
loop_
_atom_site_label
_atom_site_type_symbol
_atom_site_fract_x
_atom_site_fract_y
_atom_site_fract_z
Er1 Er 0.1641 0.0000 0.2986
Th1 Th 0.0000 0.5000 0.5000
Th2 Th 0.1207 0.5000 0.9380
Rh1 Rh 0.1441 0.0000 0.7012
```

***

Summary of DOS at the Fermi energy in states/eV per atom
0.180; 0.610; 0.674; 0.978
(order as listed above)